(1)
The following is a DFT calculation (SCAN) of a PBEsol-optimized structure of Ca2H2Pb.

SG	No. 139

a b c (Å): 7.483 7.483 7.483
angles (deg): 151.76 151.76 40.37
Element x y z (fractional)
1 Ca 0.159 0.159 0.000
2 Ca 0.841 0.841 0.000
3 H 0.250 0.750 0.500
4 H 0.750 0.250 0.500
5 Pb 0.500 0.500 0.000

=====

(2)
The following is a DFT calculation (SCAN) of a PBEsol-optimized structure of CaHPd3.

energy relative to the lowest polymorph listed for this composition	0.033	eV/atom
SG	No. 221

a b c (Å): 4.084 4.084 4.084
angles (deg): 90.00 90.00 90.00
Element x y z (fractional)
1 Ca 0.000 0.000 0.000
2 H 0.500 0.500 0.500
3 Pd 0.000 0.500 0.500
4 Pd 0.500 0.000 0.500
5 Pd 0.500 0.500 0.000

=====

(3)
The following is a DFT calculation (SCAN) of a PBEsol-optimized structure of CaHPd3.

energy relative to the lowest polymorph listed for this composition	0.000	eV/atom
SG	No. 194

a b c (Å): 5.853 5.853 4.727
angles (deg): 90.00 90.00 120.00
Element x y z (fractional)
1 Ca 0.333 0.667 0.250
2 Ca 0.667 0.333 0.750
3 H 0.333 0.667 0.750
4 H 0.667 0.333 0.250
5 Pd 0.156 0.311 0.750
6 Pd 0.156 0.844 0.750
7 Pd 0.311 0.156 0.250
8 Pd 0.689 0.844 0.750
9 Pd 0.844 0.156 0.250
10 Pd 0.844 0.689 0.250

=====

(4)
The following is a DFT calculation (SCAN) of a PBEsol-optimized structure of CaH3Pd.

SG	No. 221

a b c (Å): 3.663 3.663 3.663
angles (deg): 90.00 90.00 90.00
Element x y z (fractional)
1 Ca 0.000 0.000 0.000
2 H 0.000 0.500 0.500
3 H 0.500 0.000 0.500
4 H 0.500 0.500 0.000
5 Pd 0.500 0.500 0.500

=====

(5)
The following is a DFT calculation (SCAN) of a PBEsol-optimized structure of CaHPd2.

SG	No. 227

a b c (Å): 5.611 5.611 5.611
angles (deg): 60.00 60.00 60.00
Element x y z (fractional)
1 Ca 0.125 0.125 0.125
2 Ca 0.875 0.875 0.875
3 H 0.375 0.375 0.375
4 H 0.625 0.625 0.625
5 Pd 0.000 0.500 0.500
6 Pd 0.500 0.000 0.500
7 Pd 0.500 0.500 0.000
8 Pd 0.500 0.500 0.500

=====

(6)
The following is a DFT calculation (SCAN) of a PBEsol-optimized structure of Ca2H2Pt.

SG	No. 139

a b c (Å): 6.606 6.606 6.606
angles (deg): 148.82 148.82 44.68
Element x y z (fractional)
1 Ca 0.141 0.141 0.000
2 Ca 0.859 0.859 0.000
3 H 0.250 0.750 0.500
4 H 0.750 0.250 0.500
5 Pt 0.500 0.500 0.000

=====

(7)
The following is a DFT calculation (SCAN) of a PBEsol-optimized structure of RbCaH3.

SG	No. 221

a b c (Å): 4.440 4.440 4.440
angles (deg): 90.00 90.00 90.00
Element x y z (fractional)
1 Rb 0.000 0.000 0.000
2 Ca 0.500 0.500 0.500
3 H 0.000 0.500 0.500
4 H 0.500 0.000 0.500
5 H 0.500 0.500 0.000

=====

(8)
The following is a DFT calculation (SCAN) of a PBEsol-optimized structure of Rb2CaH4.

SG	No. 139

a b c (Å): 7.877 7.877 7.877
angles (deg): 147.50 147.50 46.63
Element x y z (fractional)
1 Rb 0.148 0.148 0.000
2 Rb 0.852 0.852 0.000
3 Ca 0.500 0.500 0.000
4 H 0.000 0.500 0.500
5 H 0.343 0.343 0.000
6 H 0.500 0.000 0.500
7 H 0.657 0.657 0.000

=====

(9)
The following is a DFT calculation (SCAN) of a PBEsol-optimized structure of Ca2ReH.

energy relative to the lowest polymorph listed for this composition	0.296	eV/atom
SG	No. 225

a b c (Å): 4.866 4.866 4.866
angles (deg): 60.00 60.00 60.00
Element x y z (fractional)
1 Ca 0.250 0.250 0.250
2 Ca 0.750 0.750 0.750
3 Re 0.000 0.000 0.000
4 H 0.500 0.500 0.500

=====

(10)
The following is a DFT calculation (SCAN) of a PBEsol-optimized structure of Ca2ReH.

energy relative to the lowest polymorph listed for this composition	0.000	eV/atom
SG	No. 122

a b c (Å): 5.852 5.852 5.852
angles (deg): 110.03 110.03 108.37
Element x y z (fractional)
1 Ca 0.034 0.125 0.409
2 Ca 0.375 0.966 0.091
3 Ca 0.716 0.625 0.591
4 Ca 0.875 0.284 0.909
5 Re 0.250 0.750 0.500
6 Re 0.500 0.500 0.000
7 H 0.000 0.000 0.000
8 H 0.750 0.250 0.500

=====

(11)
The following is a DFT calculation (SCAN) of a PBEsol-optimized structure of Ca3HRh.

SG	No. 221

a b c (Å): 5.365 5.365 5.365
angles (deg): 90.00 90.00 90.00
Element x y z (fractional)
1 Ca 0.000 0.000 0.500
2 Ca 0.000 0.500 0.000
3 Ca 0.500 0.000 0.000
4 H 0.500 0.500 0.500
5 Rh 0.000 0.000 0.000

=====

(12)
The following is a DFT calculation (SCAN) of a PBEsol-optimized structure of CaH2Rh.

SG	No. 122

a b c (Å): 5.945 5.945 5.945
angles (deg): 137.75 137.75 61.29
Element x y z (fractional)
1 Ca 0.000 0.000 0.000
2 Ca 0.750 0.250 0.500
3 H 0.269 0.625 0.144
4 H 0.375 0.519 0.644
5 H 0.481 0.125 0.856
6 H 0.875 0.731 0.356
7 Rh 0.250 0.750 0.500
8 Rh 0.500 0.500 0.000

=====

(13)
The following is a DFT calculation (SCAN) of a PBEsol-optimized structure of CaH3Rh.

SG	No. 221

a b c (Å): 3.601 3.601 3.601
angles (deg): 90.00 90.00 90.00
Element x y z (fractional)
1 Ca 0.000 0.000 0.000
2 H 0.000 0.500 0.500
3 H 0.500 0.000 0.500
4 H 0.500 0.500 0.000
5 Rh 0.500 0.500 0.500

=====

(14)
The following is a DFT calculation (SCAN) of a PBEsol-optimized structure of Ca2HRu.

SG	No. 122

a b c (Å): 5.800 5.800 5.800
angles (deg): 111.15 111.15 106.17
Element x y z (fractional)
1 Ca 0.051 0.125 0.426
2 Ca 0.375 0.949 0.074
3 Ca 0.699 0.625 0.574
4 Ca 0.875 0.301 0.926
5 H 0.000 0.000 0.000
6 H 0.750 0.250 0.500
7 Ru 0.250 0.750 0.500
8 Ru 0.500 0.500 0.000

=====

(15)
The following is a DFT calculation (SCAN) of a PBEsol-optimized structure of CaHRu3.

SG	No. 221

a b c (Å): 3.998 3.998 3.998
angles (deg): 90.00 90.00 90.00
Element x y z (fractional)
1 Ca 0.000 0.000 0.000
2 H 0.500 0.500 0.500
3 Ru 0.000 0.500 0.500
4 Ru 0.500 0.000 0.500
5 Ru 0.500 0.500 0.000

=====

(16)
The following is a DFT calculation (SCAN) of a PBEsol-optimized structure of Ca2H2S.

SG	No. 139

a b c (Å): 6.380 6.380 6.380
angles (deg): 147.36 147.36 46.83
Element x y z (fractional)
1 Ca 0.137 0.137 0.000
2 Ca 0.863 0.863 0.000
3 H 0.250 0.750 0.500
4 H 0.750 0.250 0.500
5 S 0.500 0.500 0.000

=====

(17)
The following is a DFT calculation (SCAN) of a PBEsol-optimized structure of CaSb2H.

SG	No. 225

a b c (Å): 5.057 5.057 5.057
angles (deg): 60.00 60.00 60.00
Element x y z (fractional)
1 Ca 0.000 0.000 0.000
2 Sb 0.250 0.250 0.250
3 Sb 0.750 0.750 0.750
4 H 0.500 0.500 0.500

=====

(18)
The following is a DFT calculation (SCAN) of a PBEsol-optimized structure of CaZrSbH2.

SG	No. 123

a b c (Å): 4.062 4.062 6.229
angles (deg): 90.00 90.00 90.00
Element x y z (fractional)
1 Ca 0.000 0.000 0.000
2 Zr 0.500 0.500 0.500
3 Sb 0.000 0.000 0.500
4 H 0.000 0.500 0.000
5 H 0.500 0.000 0.000

=====

(19)
The following is a DFT calculation (SCAN) of a PBEsol-optimized structure of CaSnH2Se.

SG	No. 123

a b c (Å): 3.945 3.945 6.815
angles (deg): 90.00 90.00 90.00
Element x y z (fractional)
1 Ca 0.000 0.000 0.000
2 Sn 0.000 0.000 0.500
3 H 0.000 0.500 0.500
4 H 0.500 0.000 0.500
5 Se 0.500 0.500 0.000

=====

(20)
The following is a DFT calculation (SCAN) of a PBEsol-optimized structure of Ca2SiH2.

SG	No. 139

a b c (Å): 7.233 7.233 7.233
angles (deg): 152.25 152.25 39.64
Element x y z (fractional)
1 Ca 0.151 0.151 0.000
2 Ca 0.849 0.849 0.000
3 Si 0.500 0.500 0.000
4 H 0.250 0.750 0.500
5 H 0.750 0.250 0.500

=====

(21)
The following is a DFT calculation (SCAN) of a PBEsol-optimized structure of Ca2SnH2.

SG	No. 139

a b c (Å): 7.457 7.457 7.457
angles (deg): 152.02 152.02 39.98
Element x y z (fractional)
1 Ca 0.158 0.158 0.000
2 Ca 0.842 0.842 0.000
3 Sn 0.500 0.500 0.000
4 H 0.250 0.750 0.500
5 H 0.750 0.250 0.500

=====

(22)
The following is a DFT calculation (SCAN) of a PBEsol-optimized structure of Sr2CaH.

SG	No. 225

a b c (Å): 6.079 6.079 6.079
angles (deg): 60.00 60.00 60.00
Element x y z (fractional)
1 Sr 0.250 0.250 0.250
2 Sr 0.750 0.750 0.750
3 Ca 0.000 0.000 0.000
4 H 0.500 0.500 0.500

=====

(23)
The following is a DFT calculation (SCAN) of a PBEsol-optimized structure of CaTa3H.

SG	No. 221

a b c (Å): 4.322 4.322 4.322
angles (deg): 90.00 90.00 90.00
Element x y z (fractional)
1 Ca 0.000 0.000 0.000
2 Ta 0.000 0.500 0.500
3 Ta 0.500 0.000 0.500
4 Ta 0.500 0.500 0.000
5 H 0.500 0.500 0.500

=====

(24)
The following is a DFT calculation (SCAN) of a PBEsol-optimized structure of CaTeH3.

SG	No. 221

a b c (Å): 4.219 4.219 4.219
angles (deg): 90.00 90.00 90.00
Element x y z (fractional)
1 Ca 0.000 0.000 0.000
2 Te 0.500 0.500 0.500
3 H 0.000 0.500 0.500
4 H 0.500 0.000 0.500
5 H 0.500 0.500 0.000

=====

(25)
The following is a DFT calculation (SCAN) of a PBEsol-optimized structure of Ca2TeH2.

SG	No. 139

a b c (Å): 6.519 6.519 6.519
angles (deg): 145.06 145.06 50.24
Element x y z (fractional)
1 Ca 0.150 0.150 0.000
2 Ca 0.850 0.850 0.000
3 Te 0.500 0.500 0.000
4 H 0.250 0.750 0.500
5 H 0.750 0.250 0.500

=====

(26)
The following is a DFT calculation (SCAN) of a PBEsol-optimized structure of CaTeH2.

SG	No. 225

a b c (Å): 4.383 4.383 4.383
angles (deg): 60.00 60.00 60.00
Element x y z (fractional)
1 Ca 0.000 0.000 0.000
2 Te 0.500 0.500 0.500
3 H 0.250 0.250 0.250
4 H 0.750 0.750 0.750

=====

(27)
The following is a DFT calculation (SCAN) of a PBEsol-optimized structure of Ca3TlH.

SG	No. 221

a b c (Å): 4.911 4.911 4.911
angles (deg): 90.00 90.00 90.00
Element x y z (fractional)
1 Ca 0.000 0.000 0.500
2 Ca 0.000 0.500 0.000
3 Ca 0.500 0.000 0.000
4 Tl 0.500 0.500 0.500
5 H 0.000 0.000 0.000

=====

(28)
The following is a DFT calculation (SCAN) of a PBEsol-optimized structure of CaY3H.

SG	No. 221

a b c (Å): 4.998 4.998 4.998
angles (deg): 90.00 90.00 90.00
Element x y z (fractional)
1 Ca 0.000 0.000 0.000
2 Y 0.000 0.500 0.500
3 Y 0.500 0.000 0.500
4 Y 0.500 0.500 0.000
5 H 0.500 0.500 0.500

=====

| no. | calculated total energy (eV per atom) | calculated density (g/cm³) |
| --- | --- | --- |
| 1 | -21.1229 | 5.13 |
| 2 | -22.8091 | 8.78 |
| 3 | -22.8420 | 8.54 |
| 4 | -11.1541 | 5.05 |
| 5 | -20.2375 | 6.75 |
| 6 | -20.0063 | 5.98 |
| 7 | -8.6497 | 2.44 |
| 8 | -9.7128 | 2.54 |
| 9 | -22.3801 | 5.45 |
| 10 | -22.6765 | 5.76 |
| 11 | -13.1150 | 2.41 |
| 12 | -13.0276 | 5.13 |
| 13 | -11.4245 | 5.19 |
| 14 | -14.1126 | 4.04 |
| 15 | -23.0724 | 8.95 |
| 16 | -8.4720 | 2.52 |
| 17 | -21.6450 | 5.17 |
| 18 | -16.9495 | 4.12 |
| 19 | -14.8151 | 3.75 |
| 20 | -7.7193 | 2.24 |
| 21 | -13.1354 | 3.66 |
| 22 | -13.8405 | 2.26 |
| 23 | -41.9585 | 12.01 |
| 24 | -11.0596 | 3.78 |
| 25 | -13.8143 | 3.85 |
| 26 | -13.5915 | 4.73 |
| 27 | -21.4085 | 4.56 |
| 28 | -19.3762 | 4.10 |